{"formula": "GdZrCCl2", "functional": "PBE-GGA", "state": "optimized geometry", "lattice_angstrom": [[3.556, 0.000, 0.000], [-1.778, 3.080, 0.000], [0.000, 0.000, 9.665]], "species": ["Zr", "Gd", "Cl", "Cl", "C"], "fractional_positions": [[0.667, 0.333, 0.366], [0.333, 0.667, 0.637], [0.333, 0.667, 0.185], [0.667, 0.333, 0.829], [0.000, 0.000, 0.483]], "magmom_total_mub_per_atom": 0.000, "e_tot_ev_per_atom": -6.68}